[1]
Cr3InSe: optimized geometry, PBE-GGA.

Values from the calculation:
The value obtained for the formation energy without anion corrections is 4.202 eV per formula unit.

Lattice parameters (Å, degrees): 4.395 4.395 4.395 90.00 90.00 90.00
Space group Pm-3m (No. 221)
Inequivalent atoms, fractional coordinates:
Cr: 0.000 0.000 0.500 x3
In: 0.500 0.500 0.500 x1
Se: 0.000 0.000 0.000 x1

---

[2]
ZrBe2Re2: optimized geometry, PBE-GGA.

Values from the calculation:
The energy relative to the elements is 0.11 eV/atom.

Lattice parameters (Å, degrees): 4.205 4.205 8.251 90.00 90.00 90.00
Space group I4/mmm (No. 139)
Inequivalent atoms, fractional coordinates:
Zr: 0.000 0.000 0.000 x2
Be: 0.000 0.500 0.250 x4
Re: 0.000 0.000 0.353 x4

---

[3]
Pm2Al6PdRh: optimized geometry, PBE-GGA.

Values from the calculation:
The energy relative to the elements is -0.41 eV/atom.

Lattice parameters (Å, degrees): 9.465 9.462 6.641 90.00 134.47 90.00
Space group C2/m (No. 12)
Inequivalent atoms, fractional coordinates:
Pm: 0.000 0.249 0.000 x4
Al: 0.000 0.248 0.500 x4
Al: 0.248 0.000 0.499 x4
Al: 0.249 0.000 0.997 x4
Pd: 0.000 0.500 0.500 x2
Rh: 0.000 0.000 0.500 x2

---

Please write out number 1 again, unchanged.
Cr3InSe: optimized geometry, PBE-GGA.

Values from the calculation:
The value obtained for the formation energy without anion corrections is 4.202 eV per formula unit.

Lattice parameters (Å, degrees): 4.395 4.395 4.395 90.00 90.00 90.00
Space group Pm-3m (No. 221)
Inequivalent atoms, fractional coordinates:
Cr: 0.000 0.000 0.500 x3
In: 0.500 0.500 0.500 x1
Se: 0.000 0.000 0.000 x1